No. 1
MgTl4Pb, optimized geometry, DFT PBE; crystal system = cubic; V = 188.10 Å³/cell; E above lowest polymorph = 12.3 kJ per mole of atoms; ρ = 9.26 g/cm3
1.0
0.0000 4.5476 4.5476
4.5476 0.0000 4.5476
4.5476 4.5476 0.0000
Mg Tl Pb
1 4 1
Direct
0.0000 0.0000 0.0000
0.3752 0.3752 0.3752
0.3752 0.3752 0.8743
0.3752 0.8743 0.3752
0.8743 0.3752 0.3752
0.7500 0.7500 0.7500

---

No. 2
MgTl6Pb, optimized geometry, DFT PBE; crystal system = tetragonal; V = 237.20 Å³/cell; electronic total energy = -2.419 eV per atom; ρ = 10.21 g/cm3
1.0
5.5752 0.0000 0.0000
0.0000 5.5752 0.0000
0.0000 0.0000 7.6312
Mg Tl Pb
1 6 1
Direct
0.0000 0.0000 0.0000
0.0000 0.5000 0.2402
0.0000 0.5000 0.7598
0.5000 0.0000 0.2402
0.5000 0.0000 0.7598
0.5000 0.5000 0.0000
0.5000 0.5000 0.5000
0.0000 0.0000 0.5000

---

No. 3
Mg5Tl3Pb2, optimized geometry, DFT PBE; crystal system = orthorhombic; V = 553.73 Å³/cell; E above lowest polymorph = 7.8 kJ per mole of atoms; ρ = 6.89 g/cm3
1.0
-5.9165 7.2710 3.2179
5.9165 -7.2710 3.2179
5.9165 7.2710 -3.2179
Mg Tl Pb
10 6 4
Direct
0.1661 0.5770 0.7431
0.2500 0.2500 0.0000
0.2500 0.5063 0.2563
0.2500 0.9937 0.7437
0.3339 0.0770 0.4109
0.6661 0.9230 0.5891
0.7500 0.0063 0.2563
0.7500 0.4937 0.7437
0.7500 0.7500 0.0000
0.8339 0.4230 0.2569
0.1684 0.2170 0.3854
0.2500 0.7500 0.5000
0.3316 0.7170 0.0487
0.6684 0.2830 0.9513
0.7500 0.2500 0.5000
0.8316 0.7830 0.6146
0.1638 0.8999 0.0638
0.3362 0.3999 0.7361
0.6638 0.6001 0.2639
0.8362 0.1001 0.9362

---

- The highest ρ belongs to which entry?
  MgTl6Pb

---

- The highest ρ belongs to which entry?
  MgTl6Pb

---

- The highest ρ belongs to which entry?
  MgTl6Pb

---

- Which of these has the highest V?
  Mg5Tl3Pb2